No. 1
TcRh2Au: optimized geometry, PBE.

Results
Final energy   -7.12 eV per atom
Space group   P4/mmm (123)
E above lowest polymorph   0.00 eV/f.u.
Energy of formation from the pure elements   -0.04 eV per atom

Cell lengths 2.7748, 2.7748, 7.8884 Å; angles 90.00, 90.00, 90.00 degrees
With the nearest neighbours (Å) after each atom.
Positions (direct):
Rh (0.0000, 0.0000, 0.0213)  4 Tc 2.67, 4 Rh 2.77, 4 Au 2.90
Rh (0.0000, 0.0000, 0.4787)  4 Tc 2.67, 4 Rh 2.77, 4 Au 2.90
Au (0.5000, 0.5000, 0.7500)  4 Au 2.77, 8 Rh 2.90
Tc (0.5000, 0.5000, 0.2500)  8 Rh 2.67, 4 Tc 2.77

=====

No. 2
TcRhAu2: optimized geometry, PBE.

Results
Final energy   -5.70 eV per atom
Space group   I4/mmm (139)
E above lowest polymorph   1.21 eV/f.u.
Energy of formation from the pure elements   0.37 eV per atom

Cell lengths 4.8867, 4.8867, 4.8867 Å; angles 131.57, 131.57, 70.91 degrees
With the nearest neighbours (Å) after each atom.
Positions (direct):
Au (0.0000, 0.0000, 0.0000)  4 Tc 2.82, 4 Rh 2.82, 4 Au 2.83
Au (0.5000, 0.5000, 0.0000)  4 Tc 2.82, 4 Rh 2.82, 4 Au 2.83
Rh (0.2500, 0.7500, 0.5000)  8 Au 2.82, 4 Tc 2.83
Tc (0.7500, 0.2500, 0.5000)  8 Au 2.82, 4 Rh 2.83

=====

No. 3
Tc2RhAu: optimized geometry, PBE.

Results
Final energy   -7.55 eV per atom
Space group   P4mm (99)
E above lowest polymorph   0.84 eV/f.u.
Energy of formation from the pure elements   0.29 eV per atom

Cell lengths 3.2601, 3.2601, 5.8707 Å; angles 90.00, 90.00, 90.00 degrees
With the nearest neighbours (Å) after each atom.
Positions (direct):
Au (0.0000, 0.0000, 0.5004)  4 Rh 2.78, 6 Tc 2.84-3.02
Rh (0.5000, 0.5000, 0.7664)  5 Tc 2.65-2.73, 4 Au 2.78
Tc (0.0000, 0.0000, 0.0146)  4 Tc 2.60, 4 Rh 2.73, 1 Au 2.85
Tc (0.5000, 0.5000, 0.2185)  4 Tc 2.60, 1 Rh 2.65, 4 Au 2.84

=====

No. 4
TcRhAu2: optimized geometry, PBE.

Results
Final energy   -5.71 eV per atom
Space group   Cmmm (65)
E above lowest polymorph   1.18 eV/f.u.
Energy of formation from the pure elements   0.36 eV per atom

Cell lengths 5.0655, 5.0655, 2.7601 Å; angles 90.00, 90.00, 114.73 degrees
With the nearest neighbours (Å) after each atom.
Positions (direct):
Au (0.0000, 0.0000, 0.0000)  4 Au 2.73-2.76, 4 Rh 2.88, 4 Tc 2.88
Au (0.5000, 0.5000, 0.0000)  4 Au 2.73-2.76, 4 Tc 2.88, 4 Rh 2.88
Rh (0.5000, 0.0000, 0.5000)  2 Tc 2.73, 2 Rh 2.76, 8 Au 2.88
Tc (0.0000, 0.5000, 0.5000)  2 Rh 2.73, 2 Tc 2.76, 8 Au 2.88

=====

No. 5
Tc2RhAu: optimized geometry, PBE.

Results
Final energy   -7.64 eV per atom
Space group   C2/m (12)
E above lowest polymorph   0.48 eV/f.u.
Energy of formation from the pure elements   0.20 eV per atom

Cell lengths 4.8564, 4.8564, 4.7472 Å; angles 80.23, 80.23, 33.41 degrees
With the nearest neighbours (Å) after each atom.
Positions (direct):
Au (0.7500, 0.7500, 0.7500)  4 Rh 2.75, 2 Au 2.79, 6 Tc 2.80-2.85
Rh (0.2500, 0.2500, 0.2500)  6 Tc 2.73-2.79, 4 Au 2.75, 2 Rh 2.79
Tc (0.9951, 0.9951, 0.0168)  6 Tc 2.63-2.88, 3 Rh 2.73-2.79, 3 Au 2.80-2.85
Tc (0.5049, 0.5049, 0.4832)  6 Tc 2.63-2.88, 3 Rh 2.73-2.79, 3 Au 2.80-2.85

=====

No. 6
TcRh2Au: optimized geometry, PBE.

Results
Final energy   -6.96 eV per atom
Space group   Pm (6)
E above lowest polymorph   0.65 eV/f.u.
Energy of formation from the pure elements   0.13 eV per atom

Cell lengths 3.9457, 2.7634, 6.2122 Å; angles 63.59, 90.00, 90.00 degrees
With the nearest neighbours (Å) after each atom.
Positions (direct):
Au (0.5000, 0.7486, 0.7521)  6 Rh 2.72-2.85, 2 Au 2.76, 4 Tc 2.86-2.87
Rh (0.0000, 0.9882, 0.0104)  1 Tc 2.58, 6 Rh 2.76-2.79, 4 Au 2.80-2.81
Rh (0.5000, 0.2352, 0.2638)  4 Tc 2.67-2.68, 2 Au 2.72-2.85, 6 Rh 2.76-2.79
Tc (0.0000, 0.5280, 0.4737)  5 Rh 2.58-2.68, 2 Tc 2.76, 4 Au 2.86-2.87

=====

No. 7
Tc3RhAu: optimized geometry, PBE.

Results
Final energy   -6.53 eV per atom
Space group   Pm-3m (221)
E above lowest polymorph   0.00 eV/f.u.
Energy of formation from the pure elements   1.81 eV per atom

Cell lengths 4.6498, 4.6498, 4.6498 Å; angles 90.00, 90.00, 90.00 degrees
With the nearest neighbours (Å) after each atom.
Positions (direct):
Rh (0.0000, 0.0000, 0.0000)  6 Tc 2.32
Au (0.5000, 0.5000, 0.5000)  12 Tc 3.29
Tc (0.0000, 0.5000, 0.0000)  2 Rh 2.32
Tc (0.0000, 0.0000, 0.5000)  2 Rh 2.32
Tc (0.5000, 0.0000, 0.0000)  2 Rh 2.32

=====

No. 8
TcRh2Au: optimized geometry, PBE.

Results
Final energy   -6.97 eV per atom
Space group   P4mm (99)
E above lowest polymorph   0.62 eV/f.u.
Energy of formation from the pure elements   0.12 eV per atom

Cell lengths 2.7547, 2.7547, 7.9685 Å; angles 90.00, 90.00, 90.00 degrees
With the nearest neighbours (Å) after each atom.
Positions (direct):
Au (0.5000, 0.5000, 0.7486)  4 Au 2.75, 4 Rh 2.86, 4 Tc 2.87
Rh (0.0000, 0.0000, 0.0110)  8 Rh 2.75-2.76, 4 Au 2.86
Rh (0.5000, 0.5000, 0.2555)  4 Tc 2.67, 8 Rh 2.75-2.76
Tc (0.0000, 0.0000, 0.4848)  4 Rh 2.67, 4 Tc 2.75, 4 Au 2.87

=====

No. 9
Tc2RhAu: optimized geometry, PBE.

Results
Final energy   -7.25 eV per atom
Space group   Fm-3m (225)
E above lowest polymorph   2.05 eV/f.u.
Energy of formation from the pure elements   0.59 eV per atom

Cell lengths 4.4475, 4.4475, 4.4475 Å; angles 60.00, 60.00, 60.00 degrees
With the nearest neighbours (Å) after each atom.
Positions (direct):
Rh (0.0000, 0.0000, 0.0000)  8 Tc 2.72
Au (0.5000, 0.5000, 0.5000)  8 Tc 2.72
Tc (0.2500, 0.2500, 0.2500)  4 Rh 2.72, 4 Au 2.72
Tc (0.7500, 0.7500, 0.7500)  4 Rh 2.72, 4 Au 2.72

=====

No. 10
TcRh2Au: optimized geometry, PBE.

Results
Final energy   -6.94 eV per atom
Space group   Cm (8)
E above lowest polymorph   0.75 eV/f.u.
Energy of formation from the pure elements   0.15 eV per atom

Cell lengths 4.8132, 4.8132, 4.7857 Å; angles 80.17, 80.17, 33.66 degrees
With the nearest neighbours (Å) after each atom.
Positions (direct):
Au (0.2493, 0.2493, 0.2448)  7 Rh 2.74-2.80, 2 Au 2.79, 3 Tc 2.82-2.85
Rh (0.0036, 0.0036, 0.9961)  4 Tc 2.67-2.87, 3 Au 2.74-2.80, 5 Rh 2.78-2.82
Rh (0.7524, 0.7524, 0.7356)  3 Tc 2.67-2.74, 4 Au 2.74-2.80, 5 Rh 2.78-2.82
Tc (0.4947, 0.4947, 0.5235)  7 Rh 2.67-2.87, 2 Tc 2.79, 3 Au 2.82-2.85

=====

No. 11
TcRhAu2: optimized geometry, PBE.

Results
Final energy   -5.66 eV per atom
Space group   Cmmm (65)
E above lowest polymorph   1.37 eV/f.u.
Energy of formation from the pure elements   0.41 eV per atom

Cell lengths 2.7494, 2.7494, 9.6507 Å; angles 90.00, 90.00, 116.63 degrees
With the nearest neighbours (Å) after each atom.
Positions (direct):
Au (0.0000, 0.0000, 0.0019)  6 Au 2.75-2.89, 2 Rh 2.80, 2 Tc 2.83
Au (0.0000, 0.0000, 0.4981)  6 Au 2.75-2.89, 2 Rh 2.80, 2 Tc 2.83
Rh (0.5000, 0.5000, 0.2500)  6 Rh 2.75-2.89, 4 Au 2.80
Tc (0.5000, 0.5000, 0.7500)  6 Tc 2.75-2.89, 4 Au 2.83

=====

No. 12
TcRhAu2: optimized geometry, PBE.

Results
Final energy   -5.74 eV per atom
Space group   P4/mmm (123)
E above lowest polymorph   1.05 eV/f.u.
Energy of formation from the pure elements   0.33 eV per atom

Cell lengths 2.8094, 2.8094, 8.0944 Å; angles 90.00, 90.00, 90.00 degrees
With the nearest neighbours (Å) after each atom.
Positions (direct):
Au (0.0000, 0.0000, 0.9993)  4 Au 2.81, 4 Tc 2.83, 4 Rh 2.84
Au (0.0000, 0.0000, 0.5007)  4 Au 2.81, 4 Tc 2.83, 4 Rh 2.84
Rh (0.5000, 0.5000, 0.2500)  4 Rh 2.81, 8 Au 2.84
Tc (0.5000, 0.5000, 0.7500)  4 Tc 2.81, 8 Au 2.83

=====

No. 13
TcRhAu2: optimized geometry, PBE.

Results
Final energy   -5.74 eV per atom
Space group   Imm2 (44)
E above lowest polymorph   1.03 eV/f.u.
Energy of formation from the pure elements   0.32 eV per atom

Cell lengths 5.5933, 5.5933, 5.5933 Å; angles 150.78, 128.86, 59.99 degrees
With the nearest neighbours (Å) after each atom.
Positions (direct):
Au (0.0083, 0.0083, 0.0000)  4 Rh 2.81, 4 Au 2.82-2.96, 2 Tc 2.88
Au (0.7401, 0.2401, 0.5000)  4 Tc 2.81, 4 Au 2.82-2.96, 2 Rh 2.85
Rh (0.4845, 0.4845, 0.0000)  2 Tc 2.53, 4 Au 2.81, 2 Rh 2.82
Tc (0.2671, 0.7671, 0.5000)  2 Rh 2.53, 4 Au 2.81, 2 Tc 2.82

=====

No. 14
Tc2RhAu: optimized geometry, PBE.

Results
Final energy   -7.67 eV per atom
Space group   Cm (8)
E above lowest polymorph   0.36 eV/f.u.
Energy of formation from the pure elements   0.17 eV per atom

Cell lengths 4.8060, 4.8060, 4.8884 Å; angles 81.06, 81.06, 33.07 degrees
With the nearest neighbours (Å) after each atom.
Positions (direct):
Au (0.5003, 0.5003, 0.4972)  2 Au 2.74, 3 Rh 2.75-2.86, 7 Tc 2.79-2.85
Rh (0.2580, 0.2580, 0.2357)  7 Tc 2.67-2.94, 2 Rh 2.74, 3 Au 2.75-2.86
Tc (0.9954, 0.9954, 0.9960)  3 Rh 2.68-2.85, 5 Tc 2.70-2.76, 4 Au 2.79-2.81
Tc (0.7464, 0.7464, 0.7711)  4 Rh 2.67-2.94, 5 Tc 2.70-2.76, 3 Au 2.81-2.85

=====

No. 15
TcRhAu2: optimized geometry, PBE.

Results
Final energy   -5.96 eV per atom
Space group   R3m (160)
E above lowest polymorph   0.17 eV/f.u.
Energy of formation from the pure elements   0.11 eV per atom

Cell lengths 9.5678, 9.5678, 9.5678 Å; angles 16.94, 16.94, 16.94 degrees
With the nearest neighbours (Å) after each atom.
Positions (direct):
Au (0.0040, 0.0040, 0.0040)  9 Au 2.82-3.04, 3 Tc 2.90
Au (0.2467, 0.2467, 0.2467)  9 Au 2.82-3.04, 3 Rh 2.93
Rh (0.4940, 0.4940, 0.4940)  3 Tc 2.61, 6 Rh 2.82
Tc (0.7553, 0.7553, 0.7553)  3 Rh 2.61, 6 Tc 2.82, 3 Au 2.90

=====

No. 16
TcRhAu2: optimized geometry, PBE.

Results
Final energy   -5.74 eV per atom
Space group   R-3m (166)
E above lowest polymorph   1.05 eV/f.u.
Energy of formation from the pure elements   0.33 eV per atom

Cell lengths 9.3838, 9.3838, 9.3838 Å; angles 17.38, 17.38, 17.38 degrees
With the nearest neighbours (Å) after each atom.
Positions (direct):
Au (0.0005, 0.0005, 0.0005)  3 Tc 2.82, 6 Au 2.84, 3 Rh 2.84
Au (0.4995, 0.4995, 0.4995)  3 Tc 2.82, 6 Au 2.84, 3 Rh 2.84
Rh (0.2500, 0.2500, 0.2500)  6 Rh 2.84, 6 Au 2.84
Tc (0.7500, 0.7500, 0.7500)  6 Au 2.82, 6 Tc 2.84

=====

No. 17
Tc2RhAu: optimized geometry, PBE.

Results
Final energy   -7.66 eV per atom
Space group   Pmmm (47)
E above lowest polymorph   0.39 eV/f.u.
Energy of formation from the pure elements   0.18 eV per atom

Cell lengths 4.0398, 2.7553, 6.1623 Å; angles 63.44, 90.00, 90.00 degrees
With the nearest neighbours (Å) after each atom.
Positions (direct):
Au (0.5000, 0.2500, 0.2500)  2 Au 2.76, 2 Rh 2.76, 8 Tc 2.89
Rh (0.5000, 0.7500, 0.7500)  8 Tc 2.73, 2 Rh 2.76, 2 Au 2.76
Tc (0.0000, 0.0309, 0.9696)  1 Tc 2.42
Tc (0.0000, 0.4691, 0.5304)  1 Tc 2.42

=====

No. 18
TcRh2Au: optimized geometry, PBE.

Results
Final energy   -6.67 eV per atom
Space group   F-43m (216)
E above lowest polymorph   1.83 eV/f.u.
Energy of formation from the pure elements   0.42 eV per atom

Cell lengths 4.4339, 4.4339, 4.4339 Å; angles 60.00, 60.00, 60.00 degrees
With the nearest neighbours (Å) after each atom.
Positions (direct):
Au (0.5000, 0.5000, 0.5000)  4 Tc 2.72, 4 Rh 2.72
Rh (0.0000, 0.0000, 0.0000)  4 Tc 2.72, 4 Rh 2.72
Rh (0.2500, 0.2500, 0.2500)  4 Rh 2.72, 4 Au 2.72
Tc (0.7500, 0.7500, 0.7500)  4 Rh 2.72, 4 Au 2.72

=====

No. 19
Tc2RhAu: optimized geometry, PBE.

Results
Final energy   -7.62 eV per atom
Space group   I4/mmm (139)
E above lowest polymorph   0.58 eV/f.u.
Energy of formation from the pure elements   0.23 eV per atom

Cell lengths 4.9317, 4.9317, 4.9317 Å; angles 134.32, 134.32, 66.59 degrees
With the nearest neighbours (Å) after each atom.
Positions (direct):
Au (0.2500, 0.7500, 0.5000)  4 Rh 2.71, 8 Tc 2.81
Rh (0.7500, 0.2500, 0.5000)  4 Au 2.71, 8 Tc 2.81
Tc (0.0000, 0.0000, 0.0000)  4 Tc 2.71, 4 Au 2.81, 4 Rh 2.81
Tc (0.5000, 0.5000, 0.0000)  4 Tc 2.71, 4 Rh 2.81, 4 Au 2.81

=====

No. 20
Tc2RhAu: optimized geometry, PBE.

Results
Final energy   -7.41 eV per atom
Space group   F-43m (216)
E above lowest polymorph   1.39 eV/f.u.
Energy of formation from the pure elements   0.43 eV per atom

Cell lengths 4.4427, 4.4427, 4.4427 Å; angles 60.00, 60.00, 60.00 degrees
With the nearest neighbours (Å) after each atom.
Positions (direct):
Au (0.5000, 0.5000, 0.5000)  4 Tc 2.72, 4 Rh 2.72
Rh (0.7500, 0.7500, 0.7500)  4 Tc 2.72, 4 Au 2.72
Tc (0.0000, 0.0000, 0.0000)  4 Tc 2.72, 4 Rh 2.72
Tc (0.2500, 0.2500, 0.2500)  4 Tc 2.72, 4 Au 2.72

=====

In states/eV/cell, the DOS(E_F) values for the records above are, in order, 3.6, 5.4, 5.5, 5.6, 3.5, 4.7, 5.8, 4.3, 6.5, 6.1, 5.3, 5.0, 3.8, 4.3, 4.2, 6.9, 4.8, 6.3, 4.8, 5.5.